Entry from the Alexandria database: a relaxed LuMgTl crystal (PBE).

Calculated values
- ΔE_f (eV per atom) = -0.11
- volume (Å³/cell) = 84
- DFT total energy (eV/atom) = -2.942

The structure in POSCAR format:
```
LuMgTl
1.0
-0.430 -4.535 1.836
-1.683 -3.645 -2.828
3.043 -3.554 -1.495
Tl Lu Mg
1 1 1
direct
0.250 0.250 0.250 Tl
0.000 0.000 0.000 Lu
0.500 0.500 0.500 Mg
```

Entry from the Alexandria database: a relaxed Ho6Er4Tm crystal (PBE).

Calculated values
- energy above the most stable polymorph in this dataset (eV/atom) = 0.176
- ΔE_f (eV per atom) = 0.31
- volume (Å³/cell) = 354
- DFT total energy (eV/atom) = -4.255

The structure in POSCAR format:
```
Ho6Er4Tm
1.0
6.468 0.000 0.000
0.000 6.468 0.000
-3.234 -3.234 8.453
Ho Er Tm
6 4 1
direct
0.859 0.486 0.346 Ho
0.486 0.859 0.346 Ho
0.514 0.514 0.654 Ho
0.000 0.500 0.000 Ho
0.141 0.141 0.654 Ho
0.500 0.000 0.000 Ho
0.048 0.688 0.736 Er
0.952 0.952 0.264 Er
0.688 0.048 0.736 Er
0.312 0.312 0.264 Er
0.500 0.500 0.000 Tm
```

Entry from the Alexandria database: a relaxed TaTl4Zn crystal (PBE).

Calculated values
- ΔE_f (eV per atom) = 0.98
- volume (Å³/cell) = 163
- DFT total energy (eV/atom) = -2.790

The structure in POSCAR format:
```
TaTl4Zn
1.0
0.000 4.333 4.333
4.333 0.000 4.333
4.333 4.333 0.000
Ta Tl Zn
1 4 1
direct
0.000 0.000 0.000 Ta
0.875 0.375 0.375 Tl
0.375 0.375 0.875 Tl
0.375 0.875 0.375 Tl
0.375 0.375 0.375 Tl
0.750 0.750 0.750 Zn
```

Entry from the Alexandria database: a relaxed SmPuGe2 crystal (PBE).

Calculated values
- energy above the most stable polymorph in this dataset (eV/atom) = 0.000
- ΔE_f (eV per atom) = -0.62
- volume (Å³/cell) = 96
- DFT total energy (eV/atom) = -7.687

The structure in POSCAR format:
```
SmPuGe2
1.0
-0.615 4.268 0.813
-1.901 0.390 -3.482
-4.470 -3.295 2.072
Sm Pu Ge
1 1 2
direct
0.724 0.000 0.988 Sm
0.441 0.500 0.421 Pu
0.161 0.500 0.862 Ge
0.004 0.000 0.547 Ge
```

Entry from the Alexandria database: a relaxed Li2TbSn3Se6 crystal (PBE).

Calculated values
- formation energy (no corrections) (eV/atom) = -0.90
- volume (Å³/cell) = 301
- DFT total energy (eV/atom) = -4.350

The structure in POSCAR format:
```
Li2TbSn3Se6
1.0
-4.083 -5.404 2.183
6.418 1.020 2.900
-3.581 5.507 3.109
Li Tb Sn Se
2 1 3 6
direct
0.328 0.672 0.000 Li
0.672 0.328 0.000 Li
0.000 0.000 0.000 Tb
0.164 0.836 0.500 Sn
0.836 0.164 0.500 Sn
0.500 0.500 0.500 Sn
0.920 0.590 0.766 Se
0.751 0.751 0.242 Se
0.080 0.410 0.234 Se
0.590 0.920 0.766 Se
0.249 0.249 0.758 Se
0.410 0.080 0.234 Se
```

Entry from the Alexandria database: a relaxed Rb2ZnCd2 crystal (PBE).

Calculated values
- energy above the most stable polymorph in this dataset (eV/atom) = 0.131
- ΔE_f (eV per atom) = 0.13
- volume (Å³/cell) = 213
- DFT total energy (eV/atom) = -0.883

The structure in POSCAR format:
```
Rb2ZnCd2
1.0
7.234 0.000 0.000
0.000 7.234 0.000
3.617 3.617 4.079
Zn Rb Cd
1 2 2
direct
0.000 0.000 0.000 Zn
0.750 0.250 0.500 Rb
0.250 0.750 0.500 Rb
0.328 0.328 0.343 Cd
0.672 0.672 0.657 Cd
```

Entry from the Alexandria database: a relaxed MnAl4Ir crystal (PBE).

Calculated values
- ΔE_f (eV per atom) = 0.05
- volume (Å³/cell) = 89
- DFT total energy (eV/atom) = -5.450

The structure in POSCAR format:
```
MnAl4Ir
1.0
-4.925 -0.881 -0.249
-3.206 3.818 -0.486
-2.451 0.679 -4.316
Mn Al Ir
1 4 1
direct
0.000 0.000 0.000 Mn
0.875 0.375 0.375 Al
0.375 0.375 0.875 Al
0.375 0.875 0.375 Al
0.375 0.375 0.375 Al
0.750 0.750 0.750 Ir
```

Entry from the Alexandria database: a relaxed Ni2Sn8Pt crystal (PBE).

Calculated values
- ΔE_f (eV per atom) = -0.09
- volume (Å³/cell) = 283
- DFT total energy (eV/atom) = -4.601

The structure in POSCAR format:
```
Ni2Sn8Pt
1.0
5.055 0.014 0.014
-0.014 7.698 -4.381
0.077 -0.711 7.689
Ni Sn Pt
2 8 1
direct
0.238 0.372 0.743 Ni
0.762 0.628 0.257 Ni
0.251 0.587 0.175 Sn
0.749 0.413 0.825 Sn
0.715 0.876 0.192 Sn
0.298 0.174 0.350 Sn
0.285 0.685 0.808 Sn
0.285 0.124 0.808 Sn
0.702 0.826 0.650 Sn
0.715 0.315 0.192 Sn
0.000 0.000 0.000 Pt
```